# CeHoTlTc GGA-PBE optimized geometry
data_CeHoTlTc
_chemical_formula_sum 'Ce1 Ho1 Tl1 Tc1'
_cell_length_a 3.409
_cell_length_b 3.409
_cell_length_c 8.400
_cell_angle_alpha 90.00
_cell_angle_beta 90.00
_cell_angle_gamma 90.00
_symmetry_space_group_name_H-M 'P 4 m m'
_symmetry_Int_Tables_number 99
_symmetry_space_group_name_Hall 'P 4 -2'
loop_
_atom_site_label
_atom_site_fract_x
_atom_site_fract_y
_atom_site_fract_z
_atom_site_occupancy
Ce1 0.000 0.000 0.000 1
Ho1 0.000 0.000 0.403 1
Tl1 0.500 0.500 0.694 1
Tc1 0.500 0.500 0.193 1
# Total DFT energy (no corrections)   -6.016 eV per atom
# Formation enthalpy at 0 K   -0.82 eV/f.u.

=====

# CePuCoCu GGA-PBE optimized geometry
data_CePuCoCu
_chemical_formula_sum 'Ce4 Pu4 Co4 Cu4'
_cell_length_a 6.472
_cell_length_b 6.472
_cell_length_c 6.472
_cell_angle_alpha 90.00
_cell_angle_beta 90.00
_cell_angle_gamma 90.00
_symmetry_space_group_name_H-M 'F -4 3 m'
_symmetry_Int_Tables_number 216
_symmetry_space_group_name_Hall 'F -4 2 3'
loop_
_atom_site_label
_atom_site_fract_x
_atom_site_fract_y
_atom_site_fract_z
_atom_site_occupancy
Ce1 0.000 0.000 0.000 1
Pu1 0.250 0.250 0.750 1
Co1 0.250 0.250 0.250 1
Cu1 0.000 0.000 0.500 1
# Total DFT energy (no corrections)   -7.977 eV per atom
# Formation enthalpy at 0 K   -0.44 eV/f.u.

=====

# SrNd2Hg8 GGA-PBE optimized geometry
data_SrNd2Hg8
_chemical_formula_sum 'Sr2 Nd4 Hg16'
_cell_length_a 5.316
_cell_length_b 7.193
_cell_length_c 15.785
_cell_angle_alpha 90.00
_cell_angle_beta 90.00
_cell_angle_gamma 90.00
_symmetry_space_group_name_H-M 'I m m m'
_symmetry_Int_Tables_number 71
_symmetry_space_group_name_Hall '-I 2 2'
loop_
_atom_site_label
_atom_site_fract_x
_atom_site_fract_y
_atom_site_fract_z
_atom_site_occupancy
Sr1 0.000 0.000 0.000 1
Nd1 0.000 0.000 0.316 1
Hg1 0.000 0.210 0.500 1
Hg2 0.000 0.278 0.157 1
Hg3 0.000 0.500 0.341 1
# Total DFT energy (no corrections)   -1.591 eV per atom
# Formation enthalpy at 0 K   -3.87 eV/f.u.

=====

# BiIr GGA-PBE optimized geometry
data_BiIr
_chemical_formula_sum 'Bi8 Ir8'
_cell_length_a 10.895
_cell_length_b 10.895
_cell_length_c 3.985
_cell_angle_alpha 90.00
_cell_angle_beta 90.00
_cell_angle_gamma 90.00
_symmetry_space_group_name_H-M 'P 4/m'
_symmetry_Int_Tables_number 83
_symmetry_space_group_name_Hall '-P 4'
loop_
_atom_site_label
_atom_site_fract_x
_atom_site_fract_y
_atom_site_fract_z
_atom_site_occupancy
Bi1 0.040 0.258 0.000 1
Bi2 0.237 0.641 0.500 1
Ir1 0.114 0.526 0.000 1
Ir2 0.167 0.382 0.500 1
# Total DFT energy (no corrections)   -5.970 eV per atom
# Formation enthalpy at 0 K   0.80 eV/f.u.

=====

# BaSi2Os GGA-PBE optimized geometry
data_BaSi2Os
_chemical_formula_sum 'Ba3 Si6 Os3'
_cell_length_a 4.1379
_cell_length_b 4.1379
_cell_length_c 17.9079
_cell_angle_alpha 90.00
_cell_angle_beta 90.00
_cell_angle_gamma 120.00
_symmetry_space_group_name_H-M 'R -3 m'
_symmetry_Int_Tables_number 166
_symmetry_space_group_name_Hall '-R 3 2"'
loop_
_atom_site_label
_atom_site_fract_x
_atom_site_fract_y
_atom_site_fract_z
_atom_site_occupancy
Ba1 0.0000 0.0000 0.0000 1
Si1 0.0000 0.0000 0.2003 1
Os1 0.0000 0.0000 0.5000 1
# Formation energy (no corrections)   -0.350 eV per atom
# Total DFT energy (no corrections)   -6.350 eV per atom

=====

# NdCu3Sn3 GGA-PBE optimized geometry
data_NdCu3Sn3
_chemical_formula_sum 'Nd6 Cu18 Sn18'
_cell_length_a 7.0294
_cell_length_b 7.0294
_cell_length_c 22.1764
_cell_angle_alpha 90.00
_cell_angle_beta 90.00
_cell_angle_gamma 120.00
_symmetry_space_group_name_H-M 'R -3'
_symmetry_Int_Tables_number 148
_symmetry_space_group_name_Hall '-R 3'
loop_
_atom_site_label
_atom_site_fract_x
_atom_site_fract_y
_atom_site_fract_z
_atom_site_occupancy
Nd1 0.0000 0.0000 0.1616 1
Cu1 0.0227 0.2303 0.9560 1
Sn1 0.0412 0.4472 0.0726 1
# Total DFT energy (no corrections)   -4.241 eV per atom
# Formation enthalpy at 0 K   -0.62 eV/f.u.

=====

Number 1: DOS(E_F) 4.198 states/eV per cell, total magnetization 0.00 μB/f.u.. Number 2: DOS(E_F) 18.697 states/eV per cell, total magnetization 4.44 μB/f.u.. Number 3: DOS(E_F) 8.829 states/eV per cell, total magnetization 0.00 μB/f.u.. Number 4: DOS(E_F) 10.910 states/eV per cell, total magnetization 0.00 μB/f.u.. Number 5: DOS(E_F) 8.472 states/eV per cell, total magnetization 0.00 μB/f.u.. Number 6: DOS(E_F) 16.731 states/eV per cell, total magnetization 0.00 μB/f.u..